Sm2ThZn2Ga2: relaxed, PBE.

Structure (extended XYZ):
```
7
Lattice="2.2093 1.2756 9.8686 -2.2093 1.2756 9.8686 0.0000 -2.5511 9.8686" Properties=species:S:1:pos:R:3 pbc="T T T"
Sm 0.0000 0.0000 3.7734
Sm 0.0000 0.0000 25.8325
Th 0.0000 0.0000 0.0000
Zn 0.0000 0.0000 11.7803
Zn 0.0000 0.0000 17.8256
Ga 0.0000 0.0000 7.7690
Ga 0.0000 0.0000 21.8369
```

Properties
Magnetic moment (μB/atom): 0.000
ΔH_f (0 K) (eV per atom): -0.36
Mass density (g/cm³): 7.99

SmTiGa: relaxed, PBE.

Structure (extended XYZ):
```
6
Lattice="3.2199 0.0000 0.0000 -1.6100 2.7886 0.0000 0.0000 0.0000 14.7249" Properties=species:S:1:pos:R:3 pbc="T T T"
Sm 0.0000 0.0000 2.6679
Sm 0.0000 0.0000 12.0570
Ti 0.0000 1.8590 5.2541
Ti 0.0000 1.8590 9.4708
Ga 0.0000 0.0000 7.3624
Ga 0.0000 1.8590 0.0000
```

Properties
Magnetic moment (μB/atom): 0.000
ΔH_f (0 K) (eV per atom): 0.03
Mass density (g/cm³): 6.73

SmTiGa2: relaxed, PBE.

Structure (extended XYZ):
```
4
Lattice="3.4784 0.0000 0.0000 0.0000 3.4784 0.0000 0.0000 0.0000 6.5956" Properties=species:S:1:pos:R:3 pbc="T T T"
Sm 0.0000 0.0000 0.0000
Ti 0.0000 0.0000 3.2978
Ga 1.7392 1.7392 1.9618
Ga 1.7392 1.7392 4.6338
```

Properties
Magnetic moment (μB/atom): 0.198
E above lowest polymorph (meV per atom): 0
ΔH_f (0 K) (eV per atom): -0.42
Mass density (g/cm³): 7.03

SmTi2Ga6: relaxed, PBE.

Structure (extended XYZ):
```
9
Lattice="-2.0543 3.3827 6.1320 2.0543 -3.3827 6.1320 2.0543 3.3827 -6.1320" Properties=species:S:1:pos:R:3 pbc="T T T"
Sm 0.0000 0.0000 0.0000
Ti 2.0543 0.0000 4.7114
Ti 0.0000 3.3827 1.4206
Ga 2.0543 1.3867 -2.3703
Ga 2.0543 2.1717 0.0000
Ga 2.0543 1.3867 2.3703
Ga 0.0000 1.9959 3.7618
Ga 0.0000 1.2110 6.1320
Ga 0.0000 1.9959 8.5023
```

Properties
Magnetic moment (μB/atom): 0.000
ΔH_f (0 K) (eV per atom): -0.38
Mass density (g/cm³): 6.47

SmTiGa2: relaxed, PBE.

Structure (extended XYZ):
```
12
Lattice="3.5093 0.0000 0.0000 -1.7546 3.0391 0.0000 0.0000 0.0000 24.3437" Properties=species:S:1:pos:R:3 pbc="T T T"
Sm 0.0000 0.0000 0.0000
Sm 0.0000 2.0261 16.2291
Sm 1.7546 1.0130 8.1145
Ti 0.0000 0.0000 12.1718
Ti 0.0000 2.0261 4.0573
Ti 1.7546 1.0130 20.2864
Ga 0.0000 0.0000 5.8286
Ga 0.0000 0.0000 18.5151
Ga 0.0000 2.0261 10.4005
Ga 0.0000 2.0261 22.0577
Ga 1.7546 1.0130 2.2860
Ga 1.7546 1.0130 13.9431
```

Properties
Magnetic moment (μB/atom): 0.000
E above lowest polymorph (meV per atom): 218
ΔH_f (0 K) (eV per atom): -0.21
Mass density (g/cm³): 6.48

Sm11Tl9Ga4: relaxed, PBE.

Structure (extended XYZ):
```
24
Lattice="7.5092 -11.3410 0.0000 7.5092 11.3410 0.0000 0.0000 0.0000 3.8381" Properties=species:S:1:pos:R:3 pbc="T T T"
Sm 0.0000 0.0000 0.0000
Sm 3.5920 3.9150 0.0000
Sm 7.5092 7.5778 0.0000
Sm 4.4773 0.0000 0.0000
Sm 7.5092 2.9692 0.0000
Sm 3.5920 -3.9150 0.0000
Sm 11.4265 3.9150 0.0000
Sm 7.5092 -2.9692 0.0000
Sm 10.5412 0.0000 0.0000
Sm 7.5092 -7.5778 0.0000
Sm 11.4265 -3.9150 0.0000
Tl 2.0530 1.7179 1.9191
Tl 5.8737 5.3927 1.9191
Tl 2.0530 -1.7179 1.9191
Tl 9.1447 5.3927 1.9191
Tl 7.5092 0.0000 1.9191
Tl 5.8737 -5.3927 1.9191
Tl 12.9655 1.7179 1.9191
Tl 9.1447 -5.3927 1.9191
Tl 12.9655 -1.7179 1.9191
Ga 5.2383 2.2481 1.9191
Ga 5.2383 -2.2481 1.9191
Ga 9.7802 2.2481 1.9191
Ga 9.7802 -2.2481 1.9191
```

Properties
Magnetic moment (μB/atom): 0.000
ΔH_f (0 K) (eV per atom): -0.41
Mass density (g/cm³): 9.58

Sm12TlGa6: relaxed, PBE.

Structure (extended XYZ):
```
19
Lattice="-5.1547 5.1547 5.1547 5.1547 -5.1547 5.1547 5.1547 5.1547 -5.1547" Properties=species:S:1:pos:R:3 pbc="T T T"
Sm 5.1547 -2.1245 3.1997
Sm 3.0302 1.9550 0.0000
Sm 7.2791 1.9550 0.0000
Sm 3.1997 5.1547 -2.1245
Sm 1.9550 0.0000 3.0302
Sm 0.0000 3.0302 1.9550
Sm 5.1547 2.1245 3.1997
Sm 3.1997 5.1547 2.1245
Sm 1.9550 0.0000 7.2791
Sm -2.1245 3.1997 5.1547
Sm 2.1245 3.1997 5.1547
Sm 0.0000 7.2791 1.9550
Tl 0.0000 0.0000 0.0000
Ga 5.1547 0.0000 1.2485
Ga 5.1547 3.9061 0.0000
Ga 1.2485 5.1547 0.0000
Ga 3.9061 0.0000 5.1547
Ga 0.0000 1.2485 5.1547
Ga 0.0000 5.1547 3.9061
```

Properties
Magnetic moment (μB/atom): 0.000
ΔH_f (0 K) (eV per atom): -0.37
Mass density (g/cm³): 7.36

Sm7Tl2Ga: relaxed, PBE.

Structure (extended XYZ):
```
10
Lattice="5.3068 0.0000 0.0000 -2.6534 4.5958 0.0000 0.0000 0.0000 12.9898" Properties=species:S:1:pos:R:3 pbc="T T T"
Sm 0.0000 0.0000 0.0000
Sm 0.0000 0.0000 3.3095
Sm 0.0000 0.0000 9.5140
Sm 0.0000 3.0639 5.1069
Sm 0.0000 3.0639 11.5396
Sm 2.6534 1.5319 1.6666
Sm 2.6534 1.5319 7.4669
Tl 0.0000 0.0000 6.4033
Tl 2.6534 1.5319 10.9486
Ga 0.0000 3.0639 1.8344
```

Properties
Magnetic moment (μB/atom): 0.008
ΔH_f (0 K) (eV per atom): -0.12
Mass density (g/cm³): 8.02

Sm5TlGa2: relaxed, PBE.

Structure (extended XYZ):
```
16
Lattice="-3.9343 3.9343 7.4096 3.9343 -3.9343 7.4096 3.9343 3.9343 -7.4096" Properties=species:S:1:pos:R:3 pbc="T T T"
Sm 0.0000 0.0000 0.0000
Sm 5.2672 1.3329 -2.1379
Sm 1.3329 2.6014 -2.1379
Sm 5.2672 1.3329 2.1379
Sm 1.3329 2.6014 2.1379
Sm 0.0000 0.0000 7.4096
Sm 2.6014 1.3329 5.2717
Sm -1.3329 2.6014 5.2717
Sm 2.6014 1.3329 9.5475
Sm -1.3329 2.6014 9.5475
Tl 0.0000 0.0000 3.7048
Tl 0.0000 0.0000 11.1144
Ga 2.9829 0.9514 0.0000
Ga 2.9829 -0.9514 7.4096
Ga 0.9514 4.8857 0.0000
Ga 0.9514 2.9829 7.4096
```

Properties
Magnetic moment (μB/atom): 0.000
ΔH_f (0 K) (eV per atom): -0.42
Mass density (g/cm³): 7.93

Sm4Tl2Ga: relaxed, PBE.

Structure (extended XYZ):
```
7
Lattice="2.6603 1.5359 8.6798 -2.6603 1.5359 8.6798 0.0000 -3.0718 8.6798" Properties=species:S:1:pos:R:3 pbc="T T T"
Sm 0.0000 0.0000 3.1955
Sm 0.0000 0.0000 9.7493
Sm 0.0000 0.0000 16.2902
Sm 0.0000 0.0000 22.8441
Tl 0.0000 0.0000 6.4071
Tl 0.0000 0.0000 19.6325
Ga 0.0000 0.0000 0.0000
```

Properties
Magnetic moment (μB/atom): 0.000
E above lowest polymorph (meV per atom): 32
ΔH_f (0 K) (eV per atom): -0.27
Mass density (g/cm³): 8.43

Sm3Tl2Ga: relaxed, PBE.

Structure (extended XYZ):
```
6
Lattice="3.7456 0.0000 0.0000 0.0000 3.7456 0.0000 0.0000 0.0000 11.6973" Properties=species:S:1:pos:R:3 pbc="T T T"
Sm 0.0000 0.0000 0.0000
Sm 0.0000 0.0000 4.0692
Sm 0.0000 0.0000 7.6281
Tl 1.8728 1.8728 2.0193
Tl 1.8728 1.8728 9.6780
Ga 1.8728 1.8728 5.8486
```

Properties
Magnetic moment (μB/atom): 0.000
E above lowest polymorph (meV per atom): 0
ΔH_f (0 K) (eV per atom): -0.44
Mass density (g/cm³): 9.41

Sm4Tl3Ga: relaxed, PBE.

Structure (extended XYZ):
```
8
Lattice="3.7706 0.0000 0.0000 0.0000 3.7706 0.0000 0.0000 0.0000 15.5898" Properties=species:S:1:pos:R:3 pbc="T T T"
Sm 0.0000 0.0000 1.7577
Sm 0.0000 0.0000 5.7742
Sm 0.0000 0.0000 9.8156
Sm 0.0000 0.0000 13.8321
Tl 1.8853 1.8853 3.7773
Tl 1.8853 1.8853 7.7949
Tl 1.8853 1.8853 11.8126
Ga 1.8853 1.8853 0.0000
```

Properties
Magnetic moment (μB/atom): 0.000
E above lowest polymorph (meV per atom): 0
ΔH_f (0 K) (eV per atom): -0.43
Mass density (g/cm³): 9.62